{"formula": "KNb3Br", "functional": "PBEsol", "state": "relaxed", "lattice": [[4.880, 0.000, 0.000], [0.000, 4.880, 0.000], [0.000, 0.000, 4.880]], "species": ["K", "Nb", "Nb", "Nb", "Br"], "fractional_positions": [[0.000, 0.000, 0.000], [0.000, 0.500, 0.500], [0.500, 0.000, 0.500], [0.500, 0.500, 0.000], [0.500, 0.500, 0.500]], "sg": "Pm-3m (221)", "e_form_raw_kj_per_mol_atoms": 141}

***

{"formula": "Be3CrRh", "functional": "PBEsol", "state": "relaxed", "lattice": [[4.082, 0.000, 0.000], [0.000, 4.082, 0.000], [0.000, 0.000, 4.082]], "species": ["Be", "Be", "Be", "Cr", "Rh"], "fractional_positions": [[0.000, 0.000, 0.500], [0.000, 0.500, 0.000], [0.500, 0.000, 0.000], [0.500, 0.500, 0.500], [0.000, 0.000, 0.000]], "sg": "Pm-3m (221)", "formation_energy_mev_per_atom": 561}